Entry 1:
Entry from the Alexandria database: crystalline VP2IrS at its relaxed geometry (PBE-GGA).

a b c (Å): 4.4842 4.4842 4.3413
angles (deg): 90.00 90.00 90.00
Element x y z (fractional)
S (0.0000, 0.0000, 0.5000)
Ir (0.5000, 0.5000, 0.5000)
P (0.5000, 0.0000, 0.0000)
V (0.0000, 0.0000, 0.0000)
P (0.0000, 0.5000, 0.0000)

Computed properties:
energy relative to the elements, uncorrected: 804 meV per atom
total moment: 0.00 μB per cell
E: -28.9 eV per cell

---

Entry 2:
Entry from the Alexandria database: crystalline TmTl2Cu2Se4 at its relaxed geometry (PBE-GGA).

a b c (Å): 3.9725 8.0310 7.6718
angles (deg): 107.54 105.00 90.00
Element x y z (fractional)
Tm (0.0000, 0.0000, 0.0000)
Se (0.4761, 0.2331, 0.9522)
Cu (0.3167, 0.0103, 0.6334)
Cu (0.6833, 0.9897, 0.3666)
Tl (0.8675, 0.4401, 0.7351)
Se (0.5239, 0.7669, 0.0478)
Tl (0.1325, 0.5599, 0.2649)
Se (0.7995, 0.8208, 0.5989)
Se (0.2005, 0.1792, 0.4011)

Computed properties:
energy relative to the elements, uncorrected: -740 meV per atom
total moment: 0.00 μB per cell
E: -38.0 eV per cell

---

Entry 3:
Entry from the Alexandria database: crystalline InTeIrN2 at its relaxed geometry (PBE-GGA).

a b c (Å): 3.9559 3.9559 5.8327
angles (deg): 90.00 90.00 90.00
Element x y z (fractional)
N (0.0000, 0.5000, 0.0000)
Te (0.0000, 0.0000, 0.5000)
Ir (0.0000, 0.0000, 0.0000)
In (0.5000, 0.5000, 0.5000)
N (0.5000, 0.0000, 0.0000)

Computed properties:
energy relative to the elements, uncorrected: 864 meV per atom
total moment: 0.00 μB per cell
E: -27.1 eV per cell

---

Entry 4:
Entry from the Alexandria database: crystalline La3MnB2N6 at its relaxed geometry (PBE-GGA).

a b c (Å): 5.4218 5.4218 6.3334
angles (deg): 90.00 90.00 120.00
Each line ends with the local moment (μB).
Element x y z (fractional)
N (0.1774, 0.3548, 0.2918)  -0.01
N (0.6452, 0.8226, 0.2918)  -0.01
La (0.3333, 0.6667, 0.6742)  -0.03
B (0.3333, 0.6667, 0.2715)  -0.02
La (0.6667, 0.3333, 0.3258)  -0.03
N (0.8226, 0.1774, 0.7082)  -0.01
N (0.3548, 0.1774, 0.7082)  -0.01
N (0.1774, 0.8226, 0.2918)  -0.01
B (0.6667, 0.3333, 0.7285)  -0.02
Mn (0.0000, 0.0000, 0.5000)  -3.32
La (0.0000, 0.0000, 0.0000)  -0.05
N (0.8226, 0.6452, 0.7082)  -0.01

Computed properties:
energy relative to the elements, uncorrected: -1002 meV per atom
total moment: 3.84 μB per cell
E: -99.3 eV per cell

---

Entry 5:
Entry from the Alexandria database: crystalline MnPdRh at its relaxed geometry (PBE-GGA).

a b c (Å): 2.8053 2.8053 11.7206
angles (deg): 96.87 96.87 90.00
Each line ends with the local moment (μB).
Element x y z (fractional)
Mn (0.1336, 0.1336, 0.2672)  3.53
Pd (0.4425, 0.4425, 0.8849)  0.24
Rh (0.7087, 0.7087, 0.4174)  -0.20
Mn (0.8664, 0.8664, 0.7328)  3.53
Rh (0.2913, 0.2913, 0.5826)  -0.20
Pd (0.5575, 0.5575, 0.1151)  0.24

Computed properties:
total moment: 7.43 μB per cell
E: -43.6 eV per cell
ΔE_f: -23 meV per atom

---

Entry 6:
Entry from the Alexandria database: crystalline Pm3ErCd2 at its relaxed geometry (PBE-GGA).

a b c (Å): 3.7468 3.7468 12.6972
angles (deg): 90.00 90.00 90.00
Each line ends with the local moment (μB).
Element x y z (fractional)
Cd (0.5000, 0.5000, 0.1567)  0.01
Pm (0.0000, 0.0000, 0.0000)  0.14
Pm (0.0000, 0.0000, 0.3110)  0.00
Pm (0.0000, 0.0000, 0.6890)  0.00
Cd (0.5000, 0.5000, 0.8433)  0.01
Er (0.5000, 0.5000, 0.5000)  0.00

Computed properties:
total moment: 0.28 μB per cell
E: -21.8 eV per cell
ΔE_f: -190 meV per atom

---

Entry 7:
Entry from the Alexandria database: crystalline CeThCO at its relaxed geometry (PBE-GGA).

a b c (Å): 3.6462 3.6462 5.1713
angles (deg): 90.00 90.00 90.00
Element x y z (fractional)
C (0.0000, 0.0000, 0.5000)
O (0.5000, 0.5000, 0.0000)
Th (0.0000, 0.0000, 0.0000)
Ce (0.5000, 0.5000, 0.5000)

Computed properties:
energy relative to the elements, uncorrected: -1545 meV per atom
total moment: 0.00 μB per cell
E: -33.7 eV per cell

---

Entry 8:
Entry from the Alexandria database: crystalline Li3Ca2Zn at its relaxed geometry (PBE-GGA).

a b c (Å): 5.9251 5.9251 5.9811
angles (deg): 89.36 119.41 121.04
Element x y z (fractional)
Ca (0.7452, 0.3741, 0.1193)
Li (0.5000, 0.5000, 0.5000)
Li (0.0000, 0.0000, 0.5000)
Zn (0.0000, 0.0000, 0.0000)
Li (0.5000, 0.0000, 0.5000)
Ca (0.2548, 0.6259, 0.8807)

Computed properties:
total moment: 0.00 μB per cell
E: -11.5 eV per cell
ΔE_f: -75 meV per atom

---

Entry 9:
Entry from the Alexandria database: crystalline KCaNiCl6 at its relaxed geometry (PBE-GGA).

a b c (Å): 6.9030 6.5607 6.8809
angles (deg): 88.95 88.02 58.27
Each line ends with the local moment (μB).
Element x y z (fractional)
Cl (0.0427, 0.6136, 0.6865)  0.00
Cl (0.3412, 0.0492, 0.6909)  0.00
Cl (0.0415, 0.3512, 0.2729)  0.12
Cl (0.6070, 0.3515, 0.7272)  0.12
Ca (0.6792, 0.6414, 0.4999)  0.00
Cl (0.6097, 0.0493, 0.3092)  0.00
Cl (0.3437, 0.6135, 0.3133)  0.00
K (0.0020, 0.9959, 0.9999)  0.00
Ni (0.3327, 0.3345, 0.5000)  0.68

Computed properties:
energy relative to the elements, uncorrected: -1416 meV per atom
total moment: 1.00 μB per cell
E: -32.7 eV per cell

---

Entry 10:
Entry from the Alexandria database: crystalline LaPaMn at its relaxed geometry (PBE-GGA).

a b c (Å): 4.2691 4.2691 8.4343
angles (deg): 104.58 104.58 89.92
Each line ends with the local moment (μB).
Element x y z (fractional)
Pa (0.9193, 0.9193, 0.8039)  -0.08
Pa (0.0807, 0.0807, 0.1961)  -0.08
La (0.3432, 0.3432, 0.6665)  -0.01
Mn (0.5000, 0.0000, 0.0000)  0.21
La (0.6568, 0.6568, 0.3335)  -0.01
Mn (0.0000, 0.5000, 0.0000)  0.21

Computed properties:
total moment: 0.22 μB per cell
E: -45.8 eV per cell
ΔE_f: 239 meV per atom